1.
VASP calculation (PBE-GGA) on a geometry-optimized CaPtPbO4 structure.

Output
Total energy in eV per atom: -5.778
Formation energy from raw total energies in eV/atom: -1.266
Magnetic moment in μB/f.u.: 0.00

```
data_CaPtPbO4
_symmetry_space_group_name_H-M 'I m m a'
_symmetry_Int_Tables_number 74
_symmetry_space_group_name_Hall '-I 2b 2'
_cell_length_a 6.4335
_cell_length_b 6.7744
_cell_length_c 10.1604
_cell_angle_alpha 90.00
_cell_angle_beta 90.00
_cell_angle_gamma 90.00
loop_
_atom_site_label
_atom_site_type_symbol
_atom_site_fract_x
_atom_site_fract_y
_atom_site_fract_z
_atom_site_occupancy
Ca1 Ca 0.0000 0.2500 0.1884 1
Pt1 Pt 0.2500 0.2500 0.7500 1
Pb1 Pb 0.0000 0.0000 0.5000 1
O1 O 0.0000 0.0680 0.7212 1
O2 O 0.2103 0.2500 0.4334 1
```

2.
VASP calculation (PBE-GGA) on a geometry-optimized CaPu2PbO8 structure.

Output
Total energy in eV per atom: -8.167
Formation energy from raw total energies in eV/atom: -1.997
Magnetic moment in μB/f.u.: 4.00

```
data_CaPu2PbO8
_symmetry_space_group_name_H-M 'P -3'
_symmetry_Int_Tables_number 147
_cell_length_a 5.9582
_cell_length_b 5.9582
_cell_length_c 6.1951
_cell_angle_alpha 90.00
_cell_angle_beta 90.00
_cell_angle_gamma 120.00
loop_
_symmetry_equiv_pos_as_xyz
'x,y,z'
'-x,-y,-z'
'-y,x-y,z'
'y,-x+y,-z'
'-x+y,-x,z'
'x-y,x,-z'
loop_
_atom_site_label
_atom_site_type_symbol
_atom_site_fract_x
_atom_site_fract_y
_atom_site_fract_z
_atom_site_occupancy
Ca1 Ca 0.0000 0.0000 0.0000 1
Pu1 Pu 0.3333 0.6667 0.9292 1
Pb1 Pb 0.0000 0.0000 0.5000 1
O1 O 0.0536 0.3699 0.1503 1
O2 O 0.3333 0.6667 0.6250 1
```

> What is the formation energy from raw total energies in the first record?

-1.266 eV/atom